1.
Entry from the Alexandria database: an optimized crystal structure of BaPbW (PBE-GGA).

Lattice parameters (Å, degrees): 3.3002 3.3002 8.4945 90.00 90.00 120.00
With the nearest neighbours (Å) after each atom.
Atoms (fractional coordinates):
Ba: 0.0000 0.0000 0.0000  6 Ba 3.30, 3 W 3.41
Pb: 0.6667 0.3333 0.3926  3 W 3.01, 6 Pb 3.30
W: 0.3333 0.6667 0.6665  3 Pb 3.01, 6 W 3.30

## Properties
ΔH_f (0 K) = 1.10 eV/atom

---

2.
Entry from the Alexandria database: an optimized crystal structure of BaPb3W (PBE-GGA).

Lattice parameters (Å, degrees): 5.4869 5.4869 5.4869 90.00 90.00 90.00
With the nearest neighbours (Å) after each atom.
Atoms (fractional coordinates):
Ba: 0.0000 0.0000 0.0000  12 Pb 3.88
Pb: 0.0000 0.5000 0.5000  2 W 2.74
Pb: 0.5000 0.0000 0.5000  2 W 2.74
Pb: 0.5000 0.5000 0.0000  2 W 2.74
W: 0.5000 0.5000 0.5000  6 Pb 2.74

## Properties
ΔH_f (0 K) = 0.26 eV/atom

---

3.
Entry from the Alexandria database: an optimized crystal structure of Ba2PbW2 (PBE-GGA).

Lattice parameters (Å, degrees): 7.4869 7.4869 7.4869 139.30 139.30 58.92
With the nearest neighbours (Å) after each atom.
Atoms (fractional coordinates):
Ba: 0.2500 0.7500 0.5000  4 W 3.40, 4 Ba 3.68
Ba: 0.7500 0.2500 0.5000  4 W 3.40, 4 Ba 3.68
Pb: 0.0000 0.0000 0.0000  8 W 3.83, 8 Ba 4.17
W: 0.4182 0.4182 0.0000  1 W 2.13
W: 0.5818 0.5818 0.0000  1 W 2.13

## Properties
ΔH_f (0 K) = 1.50 eV/atom

---

Record order is preserved below.
Total moment: 0.0, 0.0, 0.0 μB per formula unit
Record order is preserved below.
Total DFT energy (no corrections): -5.10, -4.94, -5.20 eV/atom